#A
A plane-wave DFT calculation with GGA-PBE was carried out for crystalline NaLiPt3 at its relaxed geometry.

Summary:
Density of states at the Fermi level, states/eV/atom: 1.130

Cell and atoms, written as CIF:
```
data_NaLiPt3
_chemical_formula_sum 'Na1 Li1 Pt3'
_space_group_name_H-M_alt 'P m -3 m'
_space_group_IT_number 221
_space_group_name_Hall '-P 4 2 3'
_cell_length_a 4.3444
_cell_length_b 4.3444
_cell_length_c 4.3444
_cell_angle_alpha 90.00
_cell_angle_beta 90.00
_cell_angle_gamma 90.00
loop_
_atom_site_label
_atom_site_type_symbol
_atom_site_fract_x
_atom_site_fract_y
_atom_site_fract_z
Na1 Na 0.0000 0.0000 0.0000
Li1 Li 0.5000 0.5000 0.5000
Pt1 Pt 0.0000 0.5000 0.5000
```


#B
A plane-wave DFT calculation with GGA-PBE was carried out for crystalline NaLiPt3 at its relaxed geometry.

Summary:
Density of states at the Fermi level, states/eV/atom: 1.286

Cell and atoms, written as CIF:
```
data_NaLiPt3
_chemical_formula_sum 'Na1 Li1 Pt3'
_space_group_name_H-M_alt 'P m -3 m'
_space_group_IT_number 221
_space_group_name_Hall '-P 4 2 3'
_cell_length_a 4.6999
_cell_length_b 4.6999
_cell_length_c 4.6999
_cell_angle_alpha 90.00
_cell_angle_beta 90.00
_cell_angle_gamma 90.00
loop_
_atom_site_label
_atom_site_type_symbol
_atom_site_fract_x
_atom_site_fract_y
_atom_site_fract_z
Na1 Na 0.0000 0.0000 0.0000
Li1 Li 0.5000 0.5000 0.5000
Pt1 Pt 0.0000 0.0000 0.5000
```


Least stable: #B


#A
A plane-wave DFT calculation with GGA-PBE was carried out for crystalline NaLiPt2 at its relaxed geometry.

Summary:
Density of states at the Fermi level, states/eV/atom: 0.526

Cell and atoms, written as CIF:
```
data_NaLiPt2
_chemical_formula_sum 'Na4 Li4 Pt8'
_space_group_name_H-M_alt 'I 41/a m d'
_space_group_IT_number 141
_cell_length_a 4.9020
_cell_length_b 4.9020
_cell_length_c 17.1267
_cell_angle_alpha 90.00
_cell_angle_beta 90.00
_cell_angle_gamma 90.00
loop_
_space_group_symop_operation_xyz
'x,y,z'
'-x,-y,-z'
'-y+1/4,x+3/4,z+1/4'
'y+1/4,-x+3/4,-z+1/4'
'-x+1/2,-y,z+1/2'
'x+1/2,y,-z+1/2'
'y+1/4,-x+1/4,z+3/4'
'-y+1/4,x+1/4,-z+3/4'
'x,-y,-z'
'-x,y,z'
'-y+1/4,-x+1/4,-z+3/4'
'y+1/4,x+1/4,z+3/4'
'-x+1/2,y,-z+1/2'
'x+1/2,-y,z+1/2'
'y+1/4,x+3/4,-z+1/4'
'-y+1/4,-x+3/4,z+1/4'
'x+1/2,y+1/2,z+1/2'
'-x+1/2,-y+1/2,-z+1/2'
'-y+3/4,x+1/4,z+3/4'
'y+3/4,-x+1/4,-z+3/4'
'-x,-y+1/2,z'
'x,y+1/2,-z'
'y+3/4,-x+3/4,z+1/4'
'-y+3/4,x+3/4,-z+1/4'
'x+1/2,-y+1/2,-z+1/2'
'-x+1/2,y+1/2,z+1/2'
'-y+3/4,-x+3/4,-z+1/4'
'y+3/4,x+3/4,z+1/4'
'-x,y+1/2,-z'
'x,-y+1/2,z'
'y+3/4,x+1/4,-z+3/4'
'-y+3/4,-x+1/4,z+3/4'
loop_
_atom_site_label
_atom_site_type_symbol
_atom_site_fract_x
_atom_site_fract_y
_atom_site_fract_z
Na1 Na 0.0000 0.2500 0.3750
Li1 Li 0.0000 0.2500 0.8750
Pt1 Pt 0.0000 0.0000 0.0000
```


#B
A plane-wave DFT calculation with GGA-PBE was carried out for crystalline NaLiPt2 at its relaxed geometry.

Summary:
Density of states at the Fermi level, states/eV/atom: 0.469

Cell and atoms, written as CIF:
```
data_NaLiPt2
_chemical_formula_sum 'Na4 Li4 Pt8'
_space_group_name_H-M_alt 'F m -3 m'
_space_group_IT_number 225
_space_group_name_Hall '-F 4 2 3'
_cell_length_a 6.2549
_cell_length_b 6.2549
_cell_length_c 6.2549
_cell_angle_alpha 90.00
_cell_angle_beta 90.00
_cell_angle_gamma 90.00
loop_
_atom_site_label
_atom_site_type_symbol
_atom_site_fract_x
_atom_site_fract_y
_atom_site_fract_z
Na1 Na 0.0000 0.0000 0.0000
Li1 Li 0.0000 0.0000 0.5000
Pt1 Pt 0.2500 0.2500 0.2500
```


Least stable: #A


#A
A plane-wave DFT calculation with GGA-PBE was carried out for crystalline NaLiSiPt at its relaxed geometry.

Summary:
Density of states at the Fermi level, states/eV/atom: 0.799

Cell and atoms, written as CIF:
```
data_NaLiSiPt
_chemical_formula_sum 'Na2 Li2 Si2 Pt2'
_space_group_name_H-M_alt 'C 1 m 1'
_space_group_IT_number 8
_cell_length_a 7.2410
_cell_length_b 4.1749
_cell_length_c 5.6373
_cell_angle_alpha 90.00
_cell_angle_beta 115.17
_cell_angle_gamma 90.00
loop_
_space_group_symop_operation_xyz
'x,y,z'
'x,-y,z'
'x+1/2,y+1/2,z'
'x+1/2,-y+1/2,z'
loop_
_atom_site_label
_atom_site_type_symbol
_atom_site_fract_x
_atom_site_fract_y
_atom_site_fract_z
Na1 Na 0.0000 0.0000 0.0000
Li1 Li 0.1996 0.0000 0.6007
Si1 Si 0.4678 0.0000 0.4043
Pt1 Pt 0.2992 0.5000 0.3986
```


#B
A plane-wave DFT calculation with GGA-PBE was carried out for crystalline NaLiSiPt at its relaxed geometry.

Summary:
Density of states at the Fermi level, states/eV/atom: 0.265

Cell and atoms, written as CIF:
```
data_NaLiSiPt
_chemical_formula_sum 'Na4 Li4 Si4 Pt4'
_space_group_name_H-M_alt 'F -4 3 m'
_space_group_IT_number 216
_space_group_name_Hall 'F -4 2 3'
_cell_length_a 6.2009
_cell_length_b 6.2009
_cell_length_c 6.2009
_cell_angle_alpha 90.00
_cell_angle_beta 90.00
_cell_angle_gamma 90.00
loop_
_atom_site_label
_atom_site_type_symbol
_atom_site_fract_x
_atom_site_fract_y
_atom_site_fract_z
Na1 Na 0.0000 0.0000 0.0000
Li1 Li 0.2500 0.2500 0.2500
Si1 Si 0.2500 0.2500 0.7500
Pt1 Pt 0.0000 0.0000 0.5000
```


Least stable: #B


#A
A plane-wave DFT calculation with GGA-PBE was carried out for crystalline RbNa3Li at its relaxed geometry.

Summary:
Density of states at the Fermi level, states/eV/atom: 0.415

Cell and atoms, written as CIF:
```
data_RbNa3Li
_chemical_formula_sum 'Rb8 Na24 Li8'
_space_group_name_H-M_alt 'C 1 2/c 1'
_space_group_IT_number 15
_cell_length_a 18.5655
_cell_length_b 11.7724
_cell_length_c 8.1424
_cell_angle_alpha 90.00
_cell_angle_beta 103.53
_cell_angle_gamma 90.00
loop_
_space_group_symop_operation_xyz
'x,y,z'
'-x,-y,-z'
'-x,y,-z+1/2'
'x,-y,z+1/2'
'x+1/2,y+1/2,z'
'-x+1/2,-y+1/2,-z'
'-x+1/2,y+1/2,-z+1/2'
'x+1/2,-y+1/2,z+1/2'
loop_
_atom_site_label
_atom_site_type_symbol
_atom_site_fract_x
_atom_site_fract_y
_atom_site_fract_z
Rb1 Rb 0.0000 0.0224 0.2500
Rb2 Rb 0.0000 0.3566 0.7500
Na1 Na 0.1844 0.1627 0.0817
Na2 Na 0.1844 0.4967 0.5938
Na3 Na 0.1907 0.1664 0.6004
Li1 Li 0.0869 0.3268 0.2903
```


#B
A plane-wave DFT calculation with GGA-PBE was carried out for crystalline RbNa3Li at its relaxed geometry.

Summary:
Density of states at the Fermi level, states/eV/atom: 0.858

Cell and atoms, written as CIF:
```
data_RbNa3Li
_chemical_formula_sum 'Rb1 Na3 Li1'
_space_group_name_H-M_alt 'P m -3 m'
_space_group_IT_number 221
_space_group_name_Hall '-P 4 2 3'
_cell_length_a 6.6971
_cell_length_b 6.6971
_cell_length_c 6.6971
_cell_angle_alpha 90.00
_cell_angle_beta 90.00
_cell_angle_gamma 90.00
loop_
_atom_site_label
_atom_site_type_symbol
_atom_site_fract_x
_atom_site_fract_y
_atom_site_fract_z
Rb1 Rb 0.0000 0.0000 0.0000
Na1 Na 0.0000 0.0000 0.5000
Li1 Li 0.5000 0.5000 0.5000
```


Least stable: #B


#A
A plane-wave DFT calculation with GGA-PBE was carried out for crystalline Rb2NaLi at its relaxed geometry.

Summary:
Density of states at the Fermi level, states/eV/atom: 0.587

Cell and atoms, written as CIF:
```
data_Rb2NaLi
_chemical_formula_sum 'Rb2 Na1 Li1'
_space_group_name_H-M_alt 'P 4/m m m'
_space_group_IT_number 123
_space_group_name_Hall '-P 4 2'
_cell_length_a 4.8323
_cell_length_b 4.8323
_cell_length_c 9.7898
_cell_angle_alpha 90.00
_cell_angle_beta 90.00
_cell_angle_gamma 90.00
loop_
_atom_site_label
_atom_site_type_symbol
_atom_site_fract_x
_atom_site_fract_y
_atom_site_fract_z
Rb1 Rb 0.0000 0.0000 0.2378
Na1 Na 0.5000 0.5000 0.5000
Li1 Li 0.5000 0.5000 0.0000
```


#B
A plane-wave DFT calculation with GGA-PBE was carried out for crystalline Rb2NaLi at its relaxed geometry.

Summary:
Density of states at the Fermi level, states/eV/atom: 0.547

Cell and atoms, written as CIF:
```
data_Rb2NaLi
_chemical_formula_sum 'Rb8 Na4 Li4'
_space_group_name_H-M_alt 'I -4 2 d'
_space_group_IT_number 122
_space_group_name_Hall 'I -4 2bw'
_cell_length_a 10.7549
_cell_length_b 10.7549
_cell_length_c 8.0566
_cell_angle_alpha 90.00
_cell_angle_beta 90.00
_cell_angle_gamma 90.00
loop_
_atom_site_label
_atom_site_type_symbol
_atom_site_fract_x
_atom_site_fract_y
_atom_site_fract_z
Rb1 Rb 0.2344 0.2500 0.1250
Na1 Na 0.0000 0.0000 0.5000
Li1 Li 0.0000 0.0000 0.0000
```


#C
A plane-wave DFT calculation with GGA-PBE was carried out for crystalline Rb2NaLi at its relaxed geometry.

Summary:
Density of states at the Fermi level, states/eV/atom: 0.761

Cell and atoms, written as CIF:
```
data_Rb2NaLi
_chemical_formula_sum 'Rb4 Na2 Li2'
_space_group_name_H-M_alt 'C 1 m 1'
_space_group_IT_number 8
_cell_length_a 7.7537
_cell_length_b 4.4981
_cell_length_c 13.3950
_cell_angle_alpha 90.00
_cell_angle_beta 101.03
_cell_angle_gamma 90.00
loop_
_space_group_symop_operation_xyz
'x,y,z'
'x,-y,z'
'x+1/2,y+1/2,z'
'x+1/2,-y+1/2,z'
loop_
_atom_site_label
_atom_site_type_symbol
_atom_site_fract_x
_atom_site_fract_y
_atom_site_fract_z
Rb1 Rb 0.0000 0.0000 0.0000
Rb2 Rb 0.1573 0.0000 0.4729
Na1 Na 0.0794 0.5000 0.7359
Li1 Li 0.4124 0.0000 0.2367
```


Least stable: #B


#A
A plane-wave DFT calculation with GGA-PBE was carried out for crystalline RbNa2Li at its relaxed geometry.

Summary:
Density of states at the Fermi level, states/eV/atom: 0.592

Cell and atoms, written as CIF:
```
data_RbNa2Li
_chemical_formula_sum 'Rb4 Na8 Li4'
_space_group_name_H-M_alt 'I -4 2 d'
_space_group_IT_number 122
_space_group_name_Hall 'I -4 2bw'
_cell_length_a 5.3488
_cell_length_b 5.3488
_cell_length_c 25.9951
_cell_angle_alpha 90.00
_cell_angle_beta 90.00
_cell_angle_gamma 90.00
loop_
_atom_site_label
_atom_site_type_symbol
_atom_site_fract_x
_atom_site_fract_y
_atom_site_fract_z
Rb1 Rb 0.0000 0.0000 0.0000
Na1 Na 0.1990 0.2500 0.6250
Li1 Li 0.0000 0.0000 0.5000
```


#B
A plane-wave DFT calculation with GGA-PBE was carried out for crystalline RbNa2Li at its relaxed geometry.

Summary:
Density of states at the Fermi level, states/eV/atom: 0.643

Cell and atoms, written as CIF:
```
data_RbNa2Li
_chemical_formula_sum 'Rb1 Na2 Li1'
_space_group_name_H-M_alt 'P 4/m m m'
_space_group_IT_number 123
_space_group_name_Hall '-P 4 2'
_cell_length_a 4.1203
_cell_length_b 4.1203
_cell_length_c 10.2417
_cell_angle_alpha 90.00
_cell_angle_beta 90.00
_cell_angle_gamma 90.00
loop_
_atom_site_label
_atom_site_type_symbol
_atom_site_fract_x
_atom_site_fract_y
_atom_site_fract_z
Rb1 Rb 0.0000 0.0000 0.0000
Na1 Na 0.5000 0.5000 0.3220
Li1 Li 0.0000 0.0000 0.5000
```


#C
A plane-wave DFT calculation with GGA-PBE was carried out for crystalline RbNa2Li at its relaxed geometry.

Summary:
Density of states at the Fermi level, states/eV/atom: 0.609

Cell and atoms, written as CIF:
```
data_RbNa2Li
_chemical_formula_sum 'Rb1 Na2 Li1'
_space_group_name_H-M_alt 'P 4/m m m'
_space_group_IT_number 123
_space_group_name_Hall '-P 4 2'
_cell_length_a 5.6344
_cell_length_b 5.6344
_cell_length_c 5.6282
_cell_angle_alpha 90.00
_cell_angle_beta 90.00
_cell_angle_gamma 90.00
loop_
_atom_site_label
_atom_site_type_symbol
_atom_site_fract_x
_atom_site_fract_y
_atom_site_fract_z
Rb1 Rb 0.0000 0.0000 0.0000
Na1 Na 0.0000 0.5000 0.5000
Li1 Li 0.5000 0.5000 0.0000
```


Least stable: #A